A plane-wave DFT calculation with PBE+U was carried out for a relaxed structure of GaFeNi2O4.

```
GaFeNi2O4
1.0
-2.2233 -0.4066 1.9975
-1.3095 -4.5640 -2.3865
3.4826 -1.4081 3.5896
Ga Fe Ni O
1 1 2 4
direct
0.0000 0.0000 0.0000
0.5000 0.5000 0.0000
0.5000 0.0000 0.5000
0.0000 0.5000 0.5000
0.5000 0.2111 0.2065
0.5000 0.7889 0.7935
0.0000 0.2280 0.7393
0.0000 0.7720 0.2607
```

**Total moment**: 7.018 μB/cell
**Electronic total energy**: -42.8 eV/cell